LaPrCuRu, optimized geometry, DFT GGA-PBE; uncorrected energy = -5.929 eV per atom; ΔE to the lowest computed polymorph = 0.14 eV per formula unit; E_form = -0.16 eV per atom; space-group type = F-43m
1.0
5.0715 0.0000 0.0000
2.5357 4.3920 0.0000
2.5357 1.4640 4.1409
Cu La Pr Ru
1 1 1 1
Direct
0.7500 0.7500 0.7500
0.5000 0.5000 0.5000
0.0000 0.0000 0.0000
0.2500 0.2500 0.2500